Record 1
# PBEsol YSc2Te, optimized geometry
data_YSc2Te
_chemical_formula_sum 'Y1 Sc2 Te1'
_space_group_name_H-M_alt 'P 4 m m'
_space_group_IT_number 99
_space_group_name_Hall 'P 4 -2'
_cell_length_a 3.781
_cell_length_b 3.781
_cell_length_c 6.814
_cell_angle_alpha 90.00
_cell_angle_beta 90.00
_cell_angle_gamma 90.00
loop_
_atom_site_label
_atom_site_fract_x
_atom_site_fract_y
_atom_site_fract_z
_atom_site_occupancy
Y1 0.000 0.000 0.000 1
Sc1 0.000 0.000 0.517 1
Sc2 0.500 0.500 0.275 1
Te1 0.500 0.500 0.732 1
# Raw formation energy: -2.35 eV/f.u.

Record 2
# PBEsol In2TeI, optimized geometry
data_In2TeI
_chemical_formula_sum 'In8 Te4 I4'
_space_group_name_H-M_alt 'F m -3 m'
_space_group_IT_number 225
_space_group_name_Hall '-F 4 2 3'
_cell_length_a 7.769
_cell_length_b 7.769
_cell_length_c 7.769
_cell_angle_alpha 90.00
_cell_angle_beta 90.00
_cell_angle_gamma 90.00
loop_
_atom_site_label
_atom_site_fract_x
_atom_site_fract_y
_atom_site_fract_z
_atom_site_occupancy
In1 0.250 0.250 0.250 1
Te1 0.000 0.000 0.000 1
I1 0.000 0.000 0.500 1
# Raw formation energy: -0.72 eV/f.u.

Record 3
# PBEsol Zn2CoHgC, optimized geometry
data_Zn2CoHgC
_chemical_formula_sum 'Zn2 Co1 Hg1 C1'
_space_group_name_H-M_alt 'P 4/m m m'
_space_group_IT_number 123
_space_group_name_Hall '-P 4 2'
_cell_length_a 4.680
_cell_length_b 4.680
_cell_length_c 3.531
_cell_angle_alpha 90.00
_cell_angle_beta 90.00
_cell_angle_gamma 90.00
loop_
_atom_site_label
_atom_site_fract_x
_atom_site_fract_y
_atom_site_fract_z
_atom_site_occupancy
Zn1 0.000 0.500 0.000 1
Co1 0.000 0.000 0.000 1
Hg1 0.500 0.500 0.500 1
C1 0.000 0.000 0.500 1
# Calculated formation energy: 0.55 eV per atom

Record 4
# PBEsol LiHRhO2, optimized geometry
data_LiHRhO2
_chemical_formula_sum 'Li1 H1 Rh1 O2'
_space_group_name_H-M_alt 'P 4/m m m'
_space_group_IT_number 123
_space_group_name_Hall '-P 4 2'
_cell_length_a 3.838
_cell_length_b 3.838
_cell_length_c 3.328
_cell_angle_alpha 90.00
_cell_angle_beta 90.00
_cell_angle_gamma 90.00
loop_
_atom_site_label
_atom_site_fract_x
_atom_site_fract_y
_atom_site_fract_z
_atom_site_occupancy
Li1 0.000 0.000 0.000 1
H1 0.500 0.500 0.000 1
Rh1 0.500 0.500 0.500 1
O1 0.000 0.500 0.500 1
# Electronic total energy: -27.4 eV per formula unit

Record 5
# PBEsol Zn2CoTc, optimized geometry
data_Zn2CoTc
_chemical_formula_sum 'Zn2 Co1 Tc1'
_space_group_name_H-M_alt 'P 4 m m'
_space_group_IT_number 99
_space_group_name_Hall 'P 4 -2'
_cell_length_a 2.660
_cell_length_b 2.660
_cell_length_c 7.155
_cell_angle_alpha 90.00
_cell_angle_beta 90.00
_cell_angle_gamma 90.00
loop_
_atom_site_label
_atom_site_fract_x
_atom_site_fract_y
_atom_site_fract_z
_atom_site_occupancy
Zn1 0.000 0.000 0.000 1
Zn2 0.500 0.500 0.273 1
Co1 0.000 0.000 0.507 1
Tc1 0.500 0.500 0.728 1
# Calculated formation energy: -0.05 eV per atom

Record 6
# PBEsol Re2AgHg, optimized geometry
data_Re2AgHg
_chemical_formula_sum 'Re2 Ag1 Hg1'
_space_group_name_H-M_alt 'P 1 m 1'
_space_group_IT_number 6
_space_group_name_Hall 'P -2y'
_cell_length_a 2.848
_cell_length_b 3.910
_cell_length_c 5.897
_cell_angle_alpha 90.00
_cell_angle_beta 91.21
_cell_angle_gamma 90.00
loop_
_atom_site_label
_atom_site_fract_x
_atom_site_fract_y
_atom_site_fract_z
_atom_site_occupancy
Re1 0.000 0.000 0.000 1
Re2 0.429 0.500 0.178 1
Ag1 0.953 0.000 0.460 1
Hg1 0.460 0.500 0.702 1
# Calculated formation energy: 0.50 eV per atom